(1)
The following is a DFT calculation (PBE-GGA) of an optimized crystal structure of Li2TaAs.

a = 3.521 Å, b = 3.472 Å, c = 5.808 Å
α = 72.54°, β = 90.00°, γ = 90.00°
Positions (direct):
1 Ta 0.000 0.537 0.551
2 Li 0.000 0.799 0.027
3 Li 0.500 0.203 0.221
4 As 0.500 0.962 0.701

The value obtained for the formation energy is -0.12 eV/atom. For the volume, the calculation gives 68 Å³/cell. For the raw total energy, the calculation gives -0.3824 Ry per atom. The crystal system is orthorhombic. The total magnetization comes out at 0.000 μB per cell. The space-group type is Amm2, No. 38. The density of states at the Fermi level comes out at 1.3 states/eV per cell.

---

(2)
The following is a DFT calculation (PBE-GGA) of an optimized crystal structure of Li3Ac2Ge4Pd.

a = 4.464 Å, b = 4.464 Å, c = 10.436 Å
α = 90.00°, β = 90.00°, γ = 90.00°
Positions (direct):
1 Ge 0.000 0.000 0.000
2 Ge 0.000 0.500 0.379
3 Ge 0.500 0.000 0.621
4 Ge 0.500 0.500 0.000
5 Pd 0.500 0.500 0.500
6 Li 0.500 0.000 0.872
7 Li 0.000 0.500 0.128
8 Li 0.000 0.000 0.500
9 Ac 0.500 0.000 0.252
10 Ac 0.000 0.500 0.748

The value obtained for the formation energy is -0.61 eV/atom. For the volume, the calculation gives 208 Å³/cell. For the raw total energy, the calculation gives -0.3211 Ry per atom. The crystal system is tetragonal. The total magnetization comes out at 0.000 μB per cell. The space-group type is P-4m2, No. 115. The density of states at the Fermi level comes out at 2.6 states/eV per cell.

---

(3)
The following is a DFT calculation (PBE-GGA) of an optimized crystal structure of Ba6Ir2I.

a = 8.187 Å, b = 8.187 Å, c = 8.933 Å
α = 62.73°, β = 62.73°, γ = 60.00°
Positions (direct):
1 I 0.798 0.798 0.605
2 Ir 0.290 0.290 0.131
3 Ir 0.470 0.470 0.591
4 Ba 0.254 0.878 0.359
5 Ba 0.100 0.360 0.864
6 Ba 0.508 0.254 0.359
7 Ba 0.878 0.508 0.359
8 Ba 0.360 0.676 0.864
9 Ba 0.676 0.100 0.864

For the volume, the calculation gives 440 Å³/cell. For the raw total energy, the calculation gives -0.2783 Ry per atom. The crystal system is trigonal. The total magnetization comes out at 0.000 μB per cell. The space-group type is R3, No. 146. The excess energy over the best structure of this formula in the dataset is 0 meV/atom. The density of states at the Fermi level comes out at 7.7 states/eV per cell.

---

(4)
The following is a DFT calculation (PBE-GGA) of an optimized crystal structure of HoTh2Zr.

a = 4.870 Å, b = 4.928 Å, c = 4.928 Å
α = 90.00°, β = 90.00°, γ = 90.00°
Positions (direct):
1 Zr 0.500 0.000 0.000
2 Th 0.000 0.000 0.500
3 Th 0.000 0.500 0.000
4 Ho 0.500 0.500 0.500

The value obtained for the formation energy is 0.10 eV/atom. For the volume, the calculation gives 118 Å³/cell. For the raw total energy, the calculation gives -0.5067 Ry per atom. The crystal system is tetragonal. The total magnetization comes out at 0.000 μB per cell. The space-group type is P4/mmm, No. 123. The excess energy over the best structure of this formula in the dataset is 11 meV/atom. The density of states at the Fermi level comes out at 5.5 states/eV per cell.

---

(5)
The following is a DFT calculation (PBE-GGA) of an optimized crystal structure of CoCu2Br.

a = 4.539 Å, b = 4.539 Å, c = 3.102 Å
α = 90.00°, β = 90.00°, γ = 113.32°
Site moments in Bohr magnetons follow the coordinates.
Positions (direct):
1 Co 0.000 0.500 0.500  1.50
2 Br 0.500 0.000 0.500  0.03
3 Cu 0.000 0.000 0.000  0.01
4 Cu 0.500 0.500 0.000  0.01

For the volume, the calculation gives 59 Å³/cell. For the raw total energy, the calculation gives -0.2636 Ry per atom. The crystal system is orthorhombic. The total magnetization comes out at 1.448 μB per cell. The space-group type is Cmmm, No. 65. The excess energy over the best structure of this formula in the dataset is 312 meV/atom. The density of states at the Fermi level comes out at 6.2 states/eV per cell.

---

(6)
The following is a DFT calculation (PBE-GGA) of an optimized crystal structure of Pm2Dy7Y3.

a = 3.599 Å, b = 5.796 Å, c = 18.717 Å
α = 93.59°, β = 90.00°, γ = 90.00°
Positions (direct):
1 Dy 0.000 0.684 0.143
2 Dy 0.500 0.185 0.175
3 Dy 0.000 0.316 0.857
4 Dy 0.500 0.815 0.825
5 Dy 0.500 0.742 0.462
6 Dy 0.000 0.000 0.000
7 Dy 0.500 0.258 0.538
8 Y 0.000 0.779 0.631
9 Y 0.000 0.221 0.369
10 Y 0.500 0.500 0.000
11 Pm 0.500 0.293 0.706
12 Pm 0.500 0.707 0.294

The value obtained for the formation energy is 0.08 eV/atom. For the volume, the calculation gives 390 Å³/cell. For the raw total energy, the calculation gives -0.3681 Ry per atom. The crystal system is monoclinic. The total magnetization comes out at 0.000 μB per cell. The space-group type is P2/m, No. 10. The excess energy over the best structure of this formula in the dataset is 0 meV/atom. The density of states at the Fermi level comes out at 14.9 states/eV per cell.